Density functional theory data (GGA+U) for ZrMoO2 after structural relaxation.

Geometry as POSCAR:
```
ZrMoO2
1.0
5.742 0.000 0.000
0.000 5.742 0.000
0.000 0.000 5.742
Zr Mo O
4 4 8
Direct
0.000 0.000 0.000
0.000 0.500 0.500
0.500 0.000 0.500
0.500 0.500 0.000
0.000 0.000 0.500
0.000 0.500 0.000
0.500 0.000 0.000
0.500 0.500 0.500
0.250 0.250 0.250
0.250 0.250 0.750
0.250 0.750 0.250
0.250 0.750 0.750
0.750 0.250 0.250
0.750 0.250 0.750
0.750 0.750 0.250
0.750 0.750 0.750
```

Computed properties:
The calculation puts the total energy at -116.3 eV per cell. The value obtained for the calculated volume is 11.8 Å³/atom. The density of states at the Fermi level comes out at 9.8 states/eV per cell. The density is 7.69 g/cm³. The calculation puts the relative energy among the computed polymorphs at 914 meV/atom. As for the space-group type: Fm-3m.